Density functional theory data (PBE-GGA) for Ca2P3Pd6 after structural relaxation.

The calculation puts the formation energy at -75.8 kJ/mol of atoms. The calculation puts the final energy at -5.46 eV/atom.

The structure belongs to space group P-62m (No. 189); the cell edges are 7.2441, 7.2441 and 4.2503 Å and the angles 90.00°, 90.00° and 120.00°. The asymmetric unit holds Ca at (0.3333, 0.6667, 0.0000), P at (0.0000, 0.6337, 0.5000), Pd at (0.0000, 0.3048, 0.5000) and Pd at (0.0000, 0.7818, 0.0000).